Entry from OQMD via LeMat-Bulk: a geometry-optimized NbCoOsPb structure (PBE-GGA). Values from VASP.

Properties
Distance to the lowest polymorph of the same formula   0 meV per atom
E   -7.695 eV per atom
SG   F-43m (216)

```
&SYSTEM
  ibrav = 0, nat = 4, ntyp = 4
/
ATOMIC_SPECIES
Nb 92.91 Nb.upf
Co 58.93 Co.upf
Os 190.23 Os.upf
Pb 207.20 Pb.upf
CELL_PARAMETERS angstrom
0.0000 3.2169 3.2169
3.2169 0.0000 3.2169
3.2169 3.2169 0.0000
ATOMIC_POSITIONS angstrom
Nb 0.0000 0.0000 0.0000
Co 4.8254 4.8254 4.8254
Os 1.6085 1.6085 1.6085
Pb 3.2169 3.2169 3.2169
```



Entry from OQMD via LeMat-Bulk: a geometry-optimized NbCoSbOs structure (PBE-GGA). Values from VASP.

Properties
Distance to the lowest polymorph of the same formula   0 meV per atom
E   -7.989 eV per atom
SG   F-43m (216)

```
&SYSTEM
  ibrav = 0, nat = 4, ntyp = 4
/
ATOMIC_SPECIES
Nb 92.91 Nb.upf
Co 58.93 Co.upf
Sb 121.76 Sb.upf
Os 190.23 Os.upf
CELL_PARAMETERS angstrom
0.0000 3.1741 3.1741
3.1741 0.0000 3.1741
3.1741 3.1741 0.0000
ATOMIC_POSITIONS angstrom
Nb 0.0000 0.0000 0.0000
Co 4.7612 4.7612 4.7612
Sb 3.1741 3.1741 3.1741
Os 1.5871 1.5871 1.5871
```



Entry from OQMD via LeMat-Bulk: a geometry-optimized Nb2Co4P3 structure (PBE-GGA). Values from VASP.

Properties
E   -7.973 eV per atom
SG   P-62m (189)

```
&SYSTEM
  ibrav = 0, nat = 36, ntyp = 3
/
ATOMIC_SPECIES
Nb 92.91 Nb.upf
Co 58.93 Co.upf
P 30.97 P.upf
CELL_PARAMETERS angstrom
11.8948 0.0000 0.0000
-5.9474 10.3012 0.0000
0.0000 0.0000 3.5989
ATOMIC_POSITIONS angstrom
Nb -1.0498 1.8184 0.0000
Nb -3.2868 5.6930 1.7995
Nb 2.0997 0.0000 0.0000
Nb 0.0000 6.8675 1.7995
Nb 2.6606 4.6082 1.7995
Nb 6.5737 0.0000 1.7995
Nb 5.9474 3.4337 1.7995
Nb 4.8976 8.4828 0.0000
Co 0.0000 0.0000 1.7995
Co -4.3126 7.4697 0.0000
Co -1.3343 4.9832 0.0000
Co -2.6848 8.3318 1.7995
Co 0.0743 3.8102 1.7995
Co 1.6348 2.8315 0.0000
Co -0.9647 8.9651 0.0000
Co 3.2626 1.9694 1.7995
Co 4.9827 1.3361 0.0000
Co 2.2989 6.6541 0.0000
Co 2.6105 8.4604 1.7995
Co 4.6131 5.3180 0.0000
Co 8.6253 0.0000 0.0000
Co 8.5580 1.8408 1.7995
Co 6.0217 6.4910 1.7995
Co 8.2463 3.6471 0.0000
P -2.0859 3.6130 1.7995
P -4.9058 8.4972 1.7995
P -2.0560 7.0891 0.0000
P 1.0416 1.8040 1.7995
P 0.8360 4.9761 0.0000
P 4.1719 0.0000 1.7995
P 3.8914 3.2121 0.0000
P 1.2199 8.5372 0.0000
P 3.8615 6.6883 1.7995
P 7.1673 1.7640 0.0000
P 9.8117 0.0000 1.7995
P 6.7834 5.3251 0.0000
```



Entry from OQMD via LeMat-Bulk: a geometry-optimized Nb2Co12P7 structure (PBE-GGA). Values from VASP.

Properties
E   -7.473 eV per atom
SG   P-6 (174)

```
&SYSTEM
  ibrav = 0, nat = 21, ntyp = 3
/
ATOMIC_SPECIES
Nb 92.91 Nb.upf
Co 58.93 Co.upf
P 30.97 P.upf
CELL_PARAMETERS angstrom
8.8232 0.0000 0.0000
-4.4116 7.6411 0.0000
0.0000 0.0000 3.5135
ATOMIC_POSITIONS angstrom
Nb 0.0000 0.0000 0.0000
Nb 0.0000 5.0941 1.7567
Co -2.9182 5.9127 1.7567
Co -0.8059 3.0355 0.0000
Co 0.7501 2.1575 1.7567
Co -1.3798 6.8213 0.0000
Co 2.4497 1.6463 0.0000
Co 4.2531 0.8802 1.7567
Co 3.0473 3.5177 1.7567
Co 2.1857 5.4254 0.0000
Co 2.1680 7.2120 1.7567
Co 6.1726 1.2984 0.0000
Co 4.6125 4.6964 0.0000
Co 5.9343 3.2432 1.7567
P -2.0630 4.7583 0.0000
P 2.0855 0.3511 1.7567
P 1.3223 3.4753 0.0000
P 0.7407 7.0486 0.0000
P 4.4116 2.5470 0.0000
P 3.6729 5.6594 1.7567
P 7.4763 1.6305 1.7567
```



Entry from OQMD via LeMat-Bulk: a geometry-optimized PaNbCo structure (PBE-GGA). Values from VASP.

Properties
Distance to the lowest polymorph of the same formula   436 meV per atom
DFT formation energy   0.7317 eV per atom
E   -8.167 eV per atom
SG   F-43m (216)

```
&SYSTEM
  ibrav = 0, nat = 3, ntyp = 3
/
ATOMIC_SPECIES
Pa 231.04 Pa.upf
Nb 92.91 Nb.upf
Co 58.93 Co.upf
CELL_PARAMETERS angstrom
0.0000 3.0978 3.0978
3.0978 0.0000 3.0978
3.0978 3.0978 0.0000
ATOMIC_POSITIONS angstrom
Pa 0.0000 0.0000 0.0000
Nb 1.5489 1.5489 1.5489
Co 4.6466 4.6466 4.6466
```



Entry from OQMD via LeMat-Bulk: a geometry-optimized PaNbCo structure (PBE-GGA). Values from VASP.

Properties
Distance to the lowest polymorph of the same formula   0 meV per atom
DFT formation energy   0.2959 eV per atom
E   -8.603 eV per atom
SG   F-43m (216)

```
&SYSTEM
  ibrav = 0, nat = 3, ntyp = 3
/
ATOMIC_SPECIES
Pa 231.04 Pa.upf
Nb 92.91 Nb.upf
Co 58.93 Co.upf
CELL_PARAMETERS angstrom
0.0000 3.0996 3.0996
3.0996 0.0000 3.0996
3.0996 3.0996 0.0000
ATOMIC_POSITIONS angstrom
Pa 0.0000 0.0000 0.0000
Nb 3.0996 3.0996 3.0996
Co 4.6494 4.6494 4.6494
```



Entry from OQMD via LeMat-Bulk: a geometry-optimized NbCoPb structure (PBE-GGA). Values from VASP.

Properties
E   -6.635 eV per atom
SG   P-62m (189)

```
&SYSTEM
  ibrav = 0, nat = 9, ntyp = 3
/
ATOMIC_SPECIES
Nb 92.91 Nb.upf
Co 58.93 Co.upf
Pb 207.20 Pb.upf
CELL_PARAMETERS angstrom
6.9574 0.0000 0.0000
-3.4787 6.0253 0.0000
0.0000 0.0000 3.7139
ATOMIC_POSITIONS angstrom
Nb -2.1022 3.6411 0.0000
Nb 1.3765 2.3842 0.0000
Nb 4.2044 0.0000 0.0000
Co 0.0000 0.0000 0.0000
Co 0.0000 4.0169 1.8570
Co 3.4787 2.0084 1.8570
Pb -0.9468 1.6398 1.8570
Pb 1.8935 0.0000 1.8570
Pb 2.5319 4.3855 1.8570
```



Entry from OQMD via LeMat-Bulk: a geometry-optimized NbCoPb structure (PBE-GGA). Values from VASP.

Properties
E   -6.688 eV per atom
SG   P6_3/mmc (194)

```
&SYSTEM
  ibrav = 0, nat = 6, ntyp = 3
/
ATOMIC_SPECIES
Nb 92.91 Nb.upf
Co 58.93 Co.upf
Pb 207.20 Pb.upf
CELL_PARAMETERS angstrom
4.5672 0.0000 0.0000
-2.2836 3.9553 0.0000
0.0000 0.0000 5.6818
ATOMIC_POSITIONS angstrom
Nb 0.0000 0.0000 0.0000
Nb 0.0000 0.0000 2.8409
Co 0.0000 2.6369 1.4205
Co 2.2836 1.3184 4.2614
Pb 0.0000 2.6369 4.2614
Pb 2.2836 1.3184 1.4205
```



Among the records above, which one has the highest E? number 7



Look up the E of the sixth one. -8.603 eV per atom